No. 1
Below is an optimized crystal structure of LaPdAu3, with properties calculated at the PBE level.

Output
- Energy of formation from the pure elements: -0.546 eV per atom

```
data_LaPdAu3
_chemical_formula_sum 'La4 Pd4 Au12'
_space_group_name_H-M_alt 'C 1 2/m 1'
_space_group_IT_number 12
_space_group_name_Hall '-C 2y'
_cell_length_a 26.539
_cell_length_b 3.973
_cell_length_c 4.193
_cell_angle_alpha 90.00
_cell_angle_beta 98.79
_cell_angle_gamma 90.00
loop_
_atom_site_label
_atom_site_fract_x
_atom_site_fract_y
_atom_site_fract_z
La1 0.096 0.000 0.346
Pd1 0.135 0.500 0.886
Au1 0.034 0.500 0.782
Au2 0.206 0.500 0.456
Au3 0.209 0.000 0.959
```


No. 2
Below is an optimized crystal structure of I2F, with properties calculated at the PBE level.

Output
- Raw formation energy: -0.5555 eV per atom

```
data_I2F
_chemical_formula_sum 'I4 F2'
_space_group_name_H-M_alt 'P 1'
_space_group_IT_number 1
_space_group_name_Hall 'P 1'
_cell_length_a 5.448
_cell_length_b 5.797
_cell_length_c 7.706
_cell_angle_alpha 88.90
_cell_angle_beta 84.09
_cell_angle_gamma 76.20
loop_
_atom_site_label
_atom_site_fract_x
_atom_site_fract_y
_atom_site_fract_z
I1 0.000 0.000 0.000
I2 0.073 0.482 0.924
I3 0.351 0.850 0.296
I4 0.687 0.660 0.544
F1 0.558 0.957 0.695
F2 0.815 0.368 0.390
```


No. 3
Below is an optimized crystal structure of HoLuMo4, with properties calculated at the PBE level.

Output
- Energy of formation from the pure elements: 0.046 eV per atom

```
data_HoLuMo4
_chemical_formula_sum 'Ho4 Lu4 Mo16'
_space_group_name_H-M_alt 'F -4 3 m'
_space_group_IT_number 216
_space_group_name_Hall 'F -4 2 3'
_cell_length_a 7.765
_cell_length_b 7.765
_cell_length_c 7.765
_cell_angle_alpha 90.00
_cell_angle_beta 90.00
_cell_angle_gamma 90.00
loop_
_atom_site_label
_atom_site_fract_x
_atom_site_fract_y
_atom_site_fract_z
Ho1 0.000 0.000 0.000
Lu1 0.250 0.250 0.250
Mo1 0.125 0.125 0.625
```


No. 4
Below is an optimized crystal structure of Nd3CuSi2Pt9, with properties calculated at the PBE level.

Output
- Raw formation energy: -0.7869 eV per atom

```
data_Nd3CuSi2Pt9
_chemical_formula_sum 'Nd3 Cu1 Si2 Pt9'
_space_group_name_H-M_alt 'P -3 m 1'
_space_group_IT_number 164
_space_group_name_Hall '-P 3 2"'
_cell_length_a 5.7540
_cell_length_b 5.7540
_cell_length_c 10.6617
_cell_angle_alpha 90.00
_cell_angle_beta 90.00
_cell_angle_gamma 120.00
loop_
_atom_site_label
_atom_site_fract_x
_atom_site_fract_y
_atom_site_fract_z
Nd1 0.0000 0.0000 0.0000
Nd2 0.3333 0.6667 0.5858
Cu1 0.0000 0.0000 0.5000
Si1 0.3333 0.6667 0.1643
Pt1 0.0000 0.5000 0.0000
Pt2 0.1611 0.3222 0.3147
```


No. 5
Below is an optimized crystal structure of VSiI, with properties calculated at the PBE level.

Output
- Raw formation energy: 0.3567 eV per atom

```
data_VSiI
_chemical_formula_sum 'V4 Si4 I4'
_space_group_name_H-M_alt 'A m m 2'
_space_group_IT_number 38
_space_group_name_Hall 'A 2 -2'
_cell_length_a 11.920
_cell_length_b 3.755
_cell_length_c 6.078
_cell_angle_alpha 90.00
_cell_angle_beta 90.00
_cell_angle_gamma 90.00
loop_
_atom_site_label
_atom_site_fract_x
_atom_site_fract_y
_atom_site_fract_z
V1 0.000 0.000 0.000
V2 0.500 0.000 0.021
Si1 0.394 0.000 0.668
I1 0.148 0.000 0.341
```


No. 6
Below is an optimized crystal structure of BaLiIn2Au4, with properties calculated at the PBE level.

Output
- Energy of formation from the pure elements: -0.487 eV per atom

```
data_BaLiIn2Au4
_chemical_formula_sum 'Ba3 Li3 In6 Au12'
_space_group_name_H-M_alt 'R -3 m'
_space_group_IT_number 166
_space_group_name_Hall '-R 3 2"'
_cell_length_a 4.7499
_cell_length_b 4.7499
_cell_length_c 28.4172
_cell_angle_alpha 90.00
_cell_angle_beta 90.00
_cell_angle_gamma 120.00
loop_
_atom_site_label
_atom_site_fract_x
_atom_site_fract_y
_atom_site_fract_z
Ba1 0.0000 0.0000 0.0000
Li1 0.0000 0.0000 0.5000
In1 0.0000 0.0000 0.2360
Au1 0.0000 0.0000 0.1349
Au2 0.0000 0.0000 0.4057
```


No. 7
Below is an optimized crystal structure of Ti2TlC, with properties calculated at the PBE level.

Output
- Energy of formation from the pure elements: 0.123 eV per atom

```
data_Ti2TlC
_chemical_formula_sum 'Ti8 Tl4 C4'
_space_group_name_H-M_alt 'I -4 2 d'
_space_group_IT_number 122
_space_group_name_Hall 'I -4 2bw'
_cell_length_a 6.430
_cell_length_b 6.430
_cell_length_c 6.580
_cell_angle_alpha 90.00
_cell_angle_beta 90.00
_cell_angle_gamma 90.00
loop_
_atom_site_label
_atom_site_fract_x
_atom_site_fract_y
_atom_site_fract_z
Ti1 0.150 0.250 0.125
Tl1 0.000 0.000 0.500
C1 0.000 0.000 0.000
```


No. 8
Below is an optimized crystal structure of SrTbCe2Se4, with properties calculated at the PBE level.

Output
- Raw formation energy: -1.8146 eV per atom

```
data_SrTbCe2Se4
_chemical_formula_sum 'Sr1 Tb1 Ce2 Se4'
_space_group_name_H-M_alt 'P 1 2/m 1'
_space_group_IT_number 10
_space_group_name_Hall '-P 2y'
_cell_length_a 7.336
_cell_length_b 4.203
_cell_length_c 7.362
_cell_angle_alpha 90.00
_cell_angle_beta 109.08
_cell_angle_gamma 90.00
loop_
_atom_site_label
_atom_site_fract_x
_atom_site_fract_y
_atom_site_fract_z
Sr1 0.000 0.000 0.000
Tb1 0.500 0.500 0.000
Ce1 0.000 0.500 0.500
Ce2 0.500 0.000 0.500
Se1 0.259 0.500 0.251
Se2 0.260 0.000 0.755
```


No. 9
Below is an optimized crystal structure of SrCuPb2, with properties calculated at the PBE level.

Output
- Energy of formation from the pure elements: 0.066 eV per atom

```
data_SrCuPb2
_chemical_formula_sum 'Sr2 Cu2 Pb4'
_space_group_name_H-M_alt 'C 1 2/m 1'
_space_group_IT_number 12
_space_group_name_Hall '-C 2y'
_cell_length_a 6.414
_cell_length_b 11.541
_cell_length_c 4.576
_cell_angle_alpha 90.00
_cell_angle_beta 133.30
_cell_angle_gamma 90.00
loop_
_atom_site_label
_atom_site_fract_x
_atom_site_fract_y
_atom_site_fract_z
Sr1 0.000 0.000 0.000
Cu1 0.000 0.500 0.000
Pb1 0.250 0.250 0.500
```


No. 10
Below is an optimized crystal structure of As2PIr, with properties calculated at the PBE level.

Output
- Energy of formation from the pure elements: 0.124 eV per atom

```
data_As2PIr
_chemical_formula_sum 'As8 P4 Ir4'
_space_group_name_H-M_alt 'I -4 2 d'
_space_group_IT_number 122
_space_group_name_Hall 'I -4 2bw'
_cell_length_a 5.751
_cell_length_b 5.751
_cell_length_c 10.466
_cell_angle_alpha 90.00
_cell_angle_beta 90.00
_cell_angle_gamma 90.00
loop_
_atom_site_label
_atom_site_fract_x
_atom_site_fract_y
_atom_site_fract_z
As1 0.239 0.250 0.125
P1 0.000 0.000 0.500
Ir1 0.000 0.000 0.000
```


No. 11
Below is an optimized crystal structure of SrPuAs2, with properties calculated at the PBE level.

Output
- Energy of formation from the pure elements: -0.951 eV per atom

```
data_SrPuAs2
_chemical_formula_sum 'Sr3 Pu3 As6'
_space_group_name_H-M_alt 'R 3 m'
_space_group_IT_number 160
_space_group_name_Hall 'R 3 -2"'
_cell_length_a 4.2476
_cell_length_b 4.2476
_cell_length_c 21.8180
_cell_angle_alpha 90.00
_cell_angle_beta 90.00
_cell_angle_gamma 120.00
loop_
_atom_site_label
_atom_site_fract_x
_atom_site_fract_y
_atom_site_fract_z
Sr1 0.0000 0.0000 0.0000
Pu1 0.0000 0.0000 0.1710
As1 0.0000 0.0000 0.5744
As2 0.0000 0.0000 0.7657
```


No. 12
Below is an optimized crystal structure of ZrOs2Ru2, with properties calculated at the PBE level.

Output
- Energy of formation from the pure elements: -0.038 eV per atom

```
data_ZrOs2Ru2
_chemical_formula_sum 'Zr2 Os4 Ru4'
_space_group_name_H-M_alt 'P 4/m b m'
_space_group_IT_number 127
_space_group_name_Hall '-P 4 2ab'
_cell_length_a 7.547
_cell_length_b 7.547
_cell_length_c 2.790
_cell_angle_alpha 90.00
_cell_angle_beta 90.00
_cell_angle_gamma 90.00
loop_
_atom_site_label
_atom_site_fract_x
_atom_site_fract_y
_atom_site_fract_z
Zr1 0.000 0.000 0.000
Os1 0.122 0.378 0.000
Ru1 0.173 0.673 0.500
```